Entry 1:
# SrSnTe | the Alexandria database | GGA-PBE | relaxed
# - formation energy without anion corrections (meV/atom) = -902
# - uncorrected energy (eV for the cell shown) = -46.13
# - M_tot (μB/atom) = 0.000
data_SrSnTe
_cell_length_a 6.5237
_cell_length_b 6.4947
_cell_length_c 10.2833
_cell_angle_alpha 90.00
_cell_angle_beta 101.52
_cell_angle_gamma 90.00
_space_group_name_H-M_alt 'C 1 2/m 1'
_space_group_IT_number 12
loop_
_space_group_symop_operation_xyz
'x,y,z'
'-x,-y,-z'
'-x,y,-z'
'x,-y,z'
'x+1/2,y+1/2,z'
'-x+1/2,-y+1/2,-z'
'-x+1/2,y+1/2,-z'
'x+1/2,-y+1/2,z'
loop_
_atom_site_label
_atom_site_type_symbol
_atom_site_fract_x
_atom_site_fract_y
_atom_site_fract_z
Sr1 Sr 0.1789 0.0000 0.3207
Sn1 Sn 0.2405 0.5000 0.0378
Te1 Te 0.1853 0.5000 0.3412

***

Entry 2:
# Pm3ZrIn3Se8 | the Alexandria database | GGA-PBE | relaxed
# - formation energy without anion corrections (meV/atom) = -1303
# - uncorrected energy (eV for the cell shown) = -235.32
# - M_tot (μB/atom) = 0.000
data_Pm3ZrIn3Se8
_cell_length_a 8.3253
_cell_length_b 8.3253
_cell_length_c 23.1808
_cell_angle_alpha 90.00
_cell_angle_beta 90.00
_cell_angle_gamma 120.00
_space_group_name_H-M_alt 'R -3 m'
_space_group_IT_number 166
_space_group_name_Hall '-R 3 2"'
loop_
_atom_site_label
_atom_site_type_symbol
_atom_site_fract_x
_atom_site_fract_y
_atom_site_fract_z
Pm1 Pm 0.0000 0.5000 0.0000
Zr1 Zr 0.0000 0.0000 0.0000
In1 In 0.0000 0.5000 0.5000
Se1 Se 0.0000 0.0000 0.2610
Se2 Se 0.0221 0.5110 0.7356

***

Entry 3:
# Rb2CdSF6 | the Alexandria database | GGA-PBE | relaxed
# - formation energy without anion corrections (meV/atom) = -2037
# - uncorrected energy (eV for the cell shown) = -77.16
# - M_tot (μB/atom) = 0.000
data_Rb2CdSF6
_cell_length_a 5.9767
_cell_length_b 5.9767
_cell_length_c 10.8776
_cell_angle_alpha 90.00
_cell_angle_beta 90.00
_cell_angle_gamma 90.00
_space_group_name_H-M_alt 'I 4/m m m'
_space_group_IT_number 139
_space_group_name_Hall '-I 4 2'
loop_
_atom_site_label
_atom_site_type_symbol
_atom_site_fract_x
_atom_site_fract_y
_atom_site_fract_z
Rb1 Rb 0.0000 0.5000 0.2500
Cd1 Cd 0.0000 0.0000 0.0000
S1 S 0.0000 0.0000 0.5000
F1 F 0.0000 0.0000 0.1960
F2 F 0.2270 0.2270 0.5000

***

Entry 4:
# Na3La2HoSe6 | the Alexandria database | GGA-PBE | relaxed
# - formation energy without anion corrections (meV/atom) = -1734
# - uncorrected energy (eV for the cell shown) = -120.21
# - M_tot (μB/atom) = 0.000
data_Na3La2HoSe6
_cell_length_a 7.4452
_cell_length_b 12.8960
_cell_length_c 7.4108
_cell_angle_alpha 90.00
_cell_angle_beta 109.59
_cell_angle_gamma 90.00
_space_group_name_H-M_alt 'C 1 2/m 1'
_space_group_IT_number 12
loop_
_space_group_symop_operation_xyz
'x,y,z'
'-x,-y,-z'
'-x,y,-z'
'x,-y,z'
'x+1/2,y+1/2,z'
'-x+1/2,-y+1/2,-z'
'-x+1/2,y+1/2,-z'
'x+1/2,-y+1/2,z'
loop_
_atom_site_label
_atom_site_type_symbol
_atom_site_fract_x
_atom_site_fract_y
_atom_site_fract_z
Na1 Na 0.0000 0.0000 0.0000
Na2 Na 0.0000 0.3337 0.0000
La1 La 0.0000 0.1666 0.5000
Ho1 Ho 0.0000 0.5000 0.5000
Se1 Se 0.2388 0.3395 0.7348
Se2 Se 0.2430 0.5000 0.2672

***

Entry 5:
# BaCrNi | the Alexandria database | GGA-PBE | relaxed
# - distance to the lowest polymorph of the same formula (meV per atom) = 0
# - uncorrected energy (eV for the cell shown) = -33.07
# - M_tot (μB/atom) = 0.019
# - formation energy from the elements (eV per atom) = 0.265
data_BaCrNi
_cell_length_a 4.1210
_cell_length_b 4.1217
_cell_length_c 10.8666
_cell_angle_alpha 100.16
_cell_angle_beta 90.46
_cell_angle_gamma 119.91
_space_group_name_H-M_alt 'P 1'
_space_group_IT_number 1
loop_
_space_group_symop_operation_xyz
'x,y,z'
loop_
_atom_site_label
_atom_site_type_symbol
_atom_site_fract_x
_atom_site_fract_y
_atom_site_fract_z
Ba1 Ba 0.0000 0.0000 0.0000
Ba2 Ba 0.2042 0.3830 0.6035
Cr1 Cr 0.1013 0.1927 0.3018
Cr2 Cr 0.4348 0.8594 0.3018
Ni1 Ni 0.7303 0.4548 0.1893
Ni2 Ni 0.8062 0.5968 0.4145

***

Entry 6:
# Li2CeMg3 | the Alexandria database | GGA-PBE | relaxed
# - uncorrected energy (eV for the cell shown) = -14.67
# - M_tot (μB/atom) = 0.108
# - formation energy from the elements (eV per atom) = -0.021
data_Li2CeMg3
_cell_length_a 3.2316
_cell_length_b 3.2316
_cell_length_c 12.7487
_cell_angle_alpha 90.00
_cell_angle_beta 90.00
_cell_angle_gamma 90.00
_space_group_name_H-M_alt 'P 4/m m m'
_space_group_IT_number 123
_space_group_name_Hall '-P 4 2'
loop_
_atom_site_label
_atom_site_type_symbol
_atom_site_fract_x
_atom_site_fract_y
_atom_site_fract_z
Li1 Li 0.0000 0.0000 0.1511
Ce1 Ce 0.0000 0.0000 0.5000
Mg1 Mg 0.5000 0.5000 0.0000
Mg2 Mg 0.5000 0.5000 0.3011

***

Entry 7:
# ScOs | the Alexandria database | GGA-PBE | relaxed
# - uncorrected energy (eV for the cell shown) = -70.94
# - M_tot (μB/atom) = 0.000
# - formation energy from the elements (eV per atom) = -0.086
data_ScOs
_cell_length_a 3.8322
_cell_length_b 3.8322
_cell_length_c 9.2606
_cell_angle_alpha 90.00
_cell_angle_beta 90.00
_cell_angle_gamma 90.00
_space_group_name_H-M_alt 'I 41/a m d'
_space_group_IT_number 141
loop_
_space_group_symop_operation_xyz
'x,y,z'
'-x,-y,-z'
'-y+1/4,x+3/4,z+1/4'
'y+1/4,-x+3/4,-z+1/4'
'-x+1/2,-y,z+1/2'
'x+1/2,y,-z+1/2'
'y+1/4,-x+1/4,z+3/4'
'-y+1/4,x+1/4,-z+3/4'
'x,-y,-z'
'-x,y,z'
'-y+1/4,-x+1/4,-z+3/4'
'y+1/4,x+1/4,z+3/4'
'-x+1/2,y,-z+1/2'
'x+1/2,-y,z+1/2'
'y+1/4,x+3/4,-z+1/4'
'-y+1/4,-x+3/4,z+1/4'
'x+1/2,y+1/2,z+1/2'
'-x+1/2,-y+1/2,-z+1/2'
'-y+3/4,x+1/4,z+3/4'
'y+3/4,-x+1/4,-z+3/4'
'-x,-y+1/2,z'
'x,y+1/2,-z'
'y+3/4,-x+3/4,z+1/4'
'-y+3/4,x+3/4,-z+1/4'
'x+1/2,-y+1/2,-z+1/2'
'-x+1/2,y+1/2,z+1/2'
'-y+3/4,-x+3/4,-z+1/4'
'y+3/4,x+3/4,z+1/4'
'-x,y+1/2,-z'
'x,-y+1/2,z'
'y+3/4,x+1/4,-z+3/4'
'-y+3/4,-x+1/4,z+3/4'
loop_
_atom_site_label
_atom_site_type_symbol
_atom_site_fract_x
_atom_site_fract_y
_atom_site_fract_z
Sc1 Sc 0.0000 0.2500 0.3750
Os1 Os 0.0000 0.2500 0.8750

***

Entry 8:
# In3Te | the Alexandria database | GGA-PBE | relaxed
# - formation energy without anion corrections (meV/atom) = -87
# - uncorrected energy (eV for the cell shown) = -46.82
# - M_tot (μB/atom) = 0.000
data_In3Te
_cell_length_a 4.7562
_cell_length_b 4.7562
_cell_length_c 20.9628
_cell_angle_alpha 90.00
_cell_angle_beta 90.00
_cell_angle_gamma 90.00
_space_group_name_H-M_alt 'I 4/m m m'
_space_group_IT_number 139
_space_group_name_Hall '-I 4 2'
loop_
_atom_site_label
_atom_site_type_symbol
_atom_site_fract_x
_atom_site_fract_y
_atom_site_fract_z
In1 In 0.0000 0.0000 0.1278
In2 In 0.0000 0.5000 0.0000
In3 In 0.0000 0.5000 0.2500
Te1 Te 0.0000 0.0000 0.3798